(1)
VASP calculation (GGA-PBE) on a relaxed structure of ZrTc3Rh.

a b c (Å): 4.669 4.669 4.669
angles (deg): 90.00 90.00 90.00
Atoms (fractional coordinates):
Tc 0.000 0.500 0.000
Rh 0.500 0.500 0.500
Zr 0.000 0.000 0.000
Tc 0.000 0.000 0.500
Tc 0.500 0.000 0.000

Output
calculated density = 7.96 g/cm3
energy above the lowest structure with this stoichiometry = 745.9 meV/atom
symmetry = Pm-3m, No. 221
size of the total moment = 0.000 Bohr magnetons per cell
energy of formation from the pure elements = 2089 meV/atom

***

(2)
VASP calculation (GGA-PBE) on a relaxed structure of Zr4TcRh3.

a b c (Å): 3.337 4.645 9.249
angles (deg): 90.00 90.00 90.00
Atoms (fractional coordinates):
Zr 0.000 0.000 0.500
Zr 0.000 0.500 0.246
Zr 0.000 0.000 0.000
Rh 0.500 0.500 0.500
Rh 0.500 0.000 0.748
Tc 0.500 0.500 0.000
Zr 0.000 0.500 0.754
Rh 0.500 0.000 0.252

Output
calculated density = 8.94 g/cm3
symmetry = Pmmm, No. 47
size of the total moment = 0.000 Bohr magnetons per cell
energy of formation from the pure elements = -704 meV/atom

***

(3)
VASP calculation (GGA-PBE) on a relaxed structure of Zr6TcRh2.

a b c (Å): 5.579 7.107 9.327
angles (deg): 90.00 89.03 90.00
Atoms (fractional coordinates):
Zr 0.370 0.787 0.438
Zr 0.130 0.287 0.062
Rh 0.376 0.100 0.275
Tc 0.500 0.500 0.000
Zr 0.341 0.853 0.045
Zr 0.168 0.059 0.755
Tc 0.000 0.000 0.500
Zr 0.659 0.147 0.955
Rh 0.124 0.600 0.225
Rh 0.624 0.900 0.725
Rh 0.876 0.400 0.775
Zr 0.159 0.353 0.455
Zr 0.668 0.441 0.255
Zr 0.832 0.941 0.245
Zr 0.332 0.559 0.745
Zr 0.630 0.213 0.562
Zr 0.841 0.647 0.545
Zr 0.870 0.713 0.938

Output
calculated density = 7.64 g/cm3
symmetry = P2_1/c, No. 14
size of the total moment = 0.000 Bohr magnetons per cell
energy of formation from the pure elements = -326 meV/atom

***

(4)
VASP calculation (GGA-PBE) on a relaxed structure of TeRh.

a b c (Å): 4.184 4.184 4.184
angles (deg): 60.00 60.00 60.00
Atoms (fractional coordinates):
Te 0.250 0.250 0.250
Rh 0.000 0.000 0.000

Output
calculated density = 7.39 g/cm3
uncorrected formation energy = -0.2 eV/f.u.
symmetry = F-43m, No. 216
size of the total moment = 0.000 Bohr magnetons per cell

***

> Which value of calculated density does entry 1 give?

7.96 g/cm3

***

Repeat the third record exactly.
VASP calculation (GGA-PBE) on a relaxed structure of Zr6TcRh2.

a b c (Å): 5.579 7.107 9.327
angles (deg): 90.00 89.03 90.00
Atoms (fractional coordinates):
Zr 0.370 0.787 0.438
Zr 0.130 0.287 0.062
Rh 0.376 0.100 0.275
Tc 0.500 0.500 0.000
Zr 0.341 0.853 0.045
Zr 0.168 0.059 0.755
Tc 0.000 0.000 0.500
Zr 0.659 0.147 0.955
Rh 0.124 0.600 0.225
Rh 0.624 0.900 0.725
Rh 0.876 0.400 0.775
Zr 0.159 0.353 0.455
Zr 0.668 0.441 0.255
Zr 0.832 0.941 0.245
Zr 0.332 0.559 0.745
Zr 0.630 0.213 0.562
Zr 0.841 0.647 0.545
Zr 0.870 0.713 0.938

Output
calculated density = 7.64 g/cm3
symmetry = P2_1/c, No. 14
size of the total moment = 0.000 Bohr magnetons per cell
energy of formation from the pure elements = -326 meV/atom

***

Repeat the fourth record exactly.
VASP calculation (GGA-PBE) on a relaxed structure of TeRh.

a b c (Å): 4.184 4.184 4.184
angles (deg): 60.00 60.00 60.00
Atoms (fractional coordinates):
Te 0.250 0.250 0.250
Rh 0.000 0.000 0.000

Output
calculated density = 7.39 g/cm3
uncorrected formation energy = -0.2 eV/f.u.
symmetry = F-43m, No. 216
size of the total moment = 0.000 Bohr magnetons per cell